First-principles (PBE-GGA) data for crystalline CoNi2Ag at its relaxed geometry, as listed in Alexandria.

Properties
* spin magnetization: 2.83 μB per formula unit
* energy above the most stable polymorph in this dataset: 0.135 eV per atom

```
CoNi2Ag
1.0
-3.428 1.900 4.416
-1.745 -1.545 -3.849
-1.327 -1.848 1.342
Ag Co Ni
1 1 2
Direct
0.000 0.500 0.500 Ag
0.500 0.500 0.000 Co
0.000 0.000 0.000 Ni
0.500 0.000 0.500 Ni
```